PrTh4Sn15: optimized geometry, PBE.

Unit cell a=4.782 b=4.782 c=23.588 alpha=90.00 beta=90.00 gamma=90.00
Positions (direct):
1 Sn 0.000 0.500 0.500
2 Sn 0.500 0.500 0.600
3 Sn 0.500 0.000 0.898
4 Sn 0.500 0.500 0.800
5 Sn 0.500 0.000 0.500
6 Sn 0.500 0.000 0.699
7 Sn 0.500 0.000 0.102
8 Sn 0.500 0.500 0.400
9 Sn 0.000 0.500 0.898
10 Sn 0.500 0.500 0.200
11 Sn 0.000 0.500 0.301
12 Sn 0.000 0.500 0.699
13 Sn 0.000 0.500 0.102
14 Sn 0.500 0.000 0.301
15 Sn 0.500 0.500 0.000
16 Th 0.000 0.000 0.400
17 Th 0.000 0.000 0.203
18 Th 0.000 0.000 0.600
19 Th 0.000 0.000 0.797
20 Pr 0.000 0.000 0.000

Density of states at the Fermi level (states/eV/cell): 16.226
SG: No. 123
Formation enthalpy at 0 K (eV/f.u.): -9.05
E_tot (eV/atom): -5.177